[1]
# Rb2CuSnO4 | Alexandria | PBE-GGA | relaxed
# uncorrected formation energy	-1.11	eV per atom
# E_tot	-4.845	eV/atom
# magnetic moment	1.07	μB per formula unit
data_Rb2CuSnO4
_chemical_formula_sum 'Rb16 Cu8 Sn8 O32'
_symmetry_space_group_name_H-M 'F d d d'
_symmetry_Int_Tables_number 70
_cell_length_a 5.5999
_cell_length_b 12.8373
_cell_length_c 20.9093
_cell_angle_alpha 90.00
_cell_angle_beta 90.00
_cell_angle_gamma 90.00
loop_
_symmetry_equiv_pos_as_xyz
'x,y,z'
'-x,-y,-z'
'-x+1/4,-y+1/4,z'
'x+1/4,y+1/4,-z'
'x,-y+1/4,-z+1/4'
'-x,y+1/4,z+1/4'
'-x+1/4,y,-z+1/4'
'x+1/4,-y,z+1/4'
'x,y+1/2,z+1/2'
'-x,-y+1/2,-z+1/2'
'-x+1/4,-y+3/4,z+1/2'
'x+1/4,y+3/4,-z+1/2'
'x,-y+3/4,-z+3/4'
'-x,y+3/4,z+3/4'
'-x+1/4,y+1/2,-z+3/4'
'x+1/4,-y+1/2,z+3/4'
'x+1/2,y,z+1/2'
'-x+1/2,-y,-z+1/2'
'-x+3/4,-y+1/4,z+1/2'
'x+3/4,y+1/4,-z+1/2'
'x+1/2,-y+1/4,-z+3/4'
'-x+1/2,y+1/4,z+3/4'
'-x+3/4,y,-z+3/4'
'x+3/4,-y,z+3/4'
'x+1/2,y+1/2,z'
'-x+1/2,-y+1/2,-z'
'-x+3/4,-y+3/4,z'
'x+3/4,y+3/4,-z'
'x+1/2,-y+3/4,-z+1/4'
'-x+1/2,y+3/4,z+1/4'
'-x+3/4,y+1/2,-z+1/4'
'x+3/4,-y+1/2,z+1/4'
loop_
_atom_site_label
_atom_site_fract_x
_atom_site_fract_y
_atom_site_fract_z
Rb1 0.1250 0.1250 0.3096
Cu1 0.1250 0.1250 0.6250
Sn1 0.1250 0.1250 0.1250
O1 0.1234 0.2795 0.4101

[2]
# Rb2TaCu2O6 | Alexandria | PBE-GGA | relaxed
# DOS at the Fermi energy	10.6	states/eV/cell
# uncorrected formation energy	-1.53	eV per atom
# E_tot	-6.234	eV/atom
# magnetic moment	3.10	μB per formula unit
data_Rb2TaCu2O6
_chemical_formula_sum 'Rb6 Ta3 Cu6 O18'
_symmetry_space_group_name_H-M 'R -3 m'
_symmetry_Int_Tables_number 166
_symmetry_space_group_name_Hall '-R 3 2"'
_cell_length_a 5.9203
_cell_length_b 5.9203
_cell_length_c 17.8196
_cell_angle_alpha 90.00
_cell_angle_beta 90.00
_cell_angle_gamma 120.00
loop_
_atom_site_label
_atom_site_fract_x
_atom_site_fract_y
_atom_site_fract_z
Rb1 0.0000 0.0000 0.2138
Ta1 0.0000 0.0000 0.0000
Cu1 0.0000 0.0000 0.4028
O1 0.0221 0.5110 0.7346

[3]
# RbTaCuO4 | Alexandria | PBE-GGA | relaxed
# DOS at the Fermi energy	4.1	states/eV/cell
# uncorrected formation energy	-1.76	eV per atom
# E_tot	-7.011	eV/atom
# magnetic moment	0.98	μB per formula unit
data_RbTaCuO4
_chemical_formula_sum 'Rb4 Ta4 Cu4 O16'
_symmetry_space_group_name_H-M 'I m m a'
_symmetry_Int_Tables_number 74
_symmetry_space_group_name_Hall '-I 2b 2'
_cell_length_a 5.9654
_cell_length_b 6.2003
_cell_length_c 11.4739
_cell_angle_alpha 90.00
_cell_angle_beta 90.00
_cell_angle_gamma 90.00
loop_
_atom_site_label
_atom_site_fract_x
_atom_site_fract_y
_atom_site_fract_z
Rb1 0.0000 0.2500 0.1685
Ta1 0.0000 0.0000 0.5000
Cu1 0.2500 0.2500 0.7500
O1 0.0000 0.0524 0.6779
O2 0.2122 0.2500 0.4922

[4]
# RbTbCu2O4 | Alexandria | PBE-GGA | relaxed
# DOS at the Fermi energy	2.3	states/eV/cell
# uncorrected formation energy	-1.65	eV per atom
# E_tot	-5.854	eV/atom
# magnetic moment	0.00	μB per formula unit
data_RbTbCu2O4
_chemical_formula_sum 'Rb1 Tb1 Cu2 O4'
_symmetry_space_group_name_H-M 'P 4/m m m'
_symmetry_Int_Tables_number 123
_symmetry_space_group_name_Hall '-P 4 2'
_cell_length_a 3.8950
_cell_length_b 3.8950
_cell_length_c 7.5202
_cell_angle_alpha 90.00
_cell_angle_beta 90.00
_cell_angle_gamma 90.00
loop_
_atom_site_label
_atom_site_fract_x
_atom_site_fract_y
_atom_site_fract_z
Rb1 0.0000 0.0000 0.0000
Tb1 0.0000 0.0000 0.5000
Cu1 0.5000 0.5000 0.2921
O1 0.0000 0.5000 0.3092

[5]
# Rb2TbCu2O4 | Alexandria | PBE-GGA | relaxed
# DOS at the Fermi energy	8.2	states/eV/cell
# uncorrected formation energy	-1.50	eV per atom
# E_tot	-5.342	eV/atom
# magnetic moment	0.93	μB per formula unit
data_Rb2TbCu2O4
_chemical_formula_sum 'Rb4 Tb2 Cu4 O8'
_symmetry_space_group_name_H-M 'C 1 2/m 1'
_symmetry_Int_Tables_number 12
_symmetry_space_group_name_Hall '-C 2y'
_cell_length_a 13.5419
_cell_length_b 3.4902
_cell_length_c 6.6574
_cell_angle_alpha 90.00
_cell_angle_beta 107.24
_cell_angle_gamma 90.00
loop_
_atom_site_label
_atom_site_fract_x
_atom_site_fract_y
_atom_site_fract_z
Rb1 0.1298 0.0000 0.0549
Tb1 0.0000 0.0000 0.5000
Cu1 0.1803 0.5000 0.5271
O1 0.0319 0.5000 0.2994
O2 0.1855 0.0000 0.6567

[6]
# RbTbCuO2 | Alexandria | PBE-GGA | relaxed
# DOS at the Fermi energy	2.9	states/eV/cell
# uncorrected formation energy	-1.69	eV per atom
# E_tot	-5.614	eV/atom
# magnetic moment	0.00	μB per formula unit
data_RbTbCuO2
_chemical_formula_sum 'Rb2 Tb2 Cu2 O4'
_symmetry_space_group_name_H-M 'P 1 2/c 1'
_symmetry_Int_Tables_number 13
_symmetry_space_group_name_Hall '-P 2yc'
_cell_length_a 7.5852
_cell_length_b 5.6709
_cell_length_c 6.7614
_cell_angle_alpha 90.00
_cell_angle_beta 110.47
_cell_angle_gamma 90.00
loop_
_atom_site_label
_atom_site_fract_x
_atom_site_fract_y
_atom_site_fract_z
Rb1 0.0000 0.1945 0.2500
Tb1 0.5000 0.4928 0.7500
Cu1 0.5000 0.0000 0.0000
O1 0.3825 0.2915 0.4491

[7]
# RbCuTcO2 | Alexandria | PBE-GGA | relaxed
# DOS at the Fermi energy	2.1	states/eV/cell
# uncorrected formation energy	-0.58	eV per atom
# E_tot	-5.652	eV/atom
# magnetic moment	0.00	μB per formula unit
data_RbCuTcO2
_chemical_formula_sum 'Rb1 Cu1 Tc1 O2'
_symmetry_space_group_name_H-M 'P 4/m m m'
_symmetry_Int_Tables_number 123
_symmetry_space_group_name_Hall '-P 4 2'
_cell_length_a 3.9557
_cell_length_b 3.9557
_cell_length_c 5.0281
_cell_angle_alpha 90.00
_cell_angle_beta 90.00
_cell_angle_gamma 90.00
loop_
_atom_site_label
_atom_site_fract_x
_atom_site_fract_y
_atom_site_fract_z
Rb1 0.0000 0.0000 0.0000
Cu1 0.5000 0.5000 0.0000
Tc1 0.5000 0.5000 0.5000
O1 0.0000 0.5000 0.5000

[8]
# RbCuTcO4 | Alexandria | PBE-GGA | relaxed
# DOS at the Fermi energy	4.0	states/eV/cell
# uncorrected formation energy	-1.25	eV per atom
# E_tot	-6.286	eV/atom
# magnetic moment	1.02	μB per formula unit
data_RbCuTcO4
_chemical_formula_sum 'Rb2 Cu2 Tc2 O8'
_symmetry_space_group_name_H-M 'P 1 21/m 1'
_symmetry_Int_Tables_number 11
_symmetry_space_group_name_Hall '-P 2yb'
_cell_length_a 5.9560
_cell_length_b 6.0529
_cell_length_c 7.6244
_cell_angle_alpha 90.00
_cell_angle_beta 97.53
_cell_angle_gamma 90.00
loop_
_atom_site_label
_atom_site_fract_x
_atom_site_fract_y
_atom_site_fract_z
Rb1 0.1000 0.2500 0.1181
Cu1 0.3881 0.7500 0.6772
Tc1 0.4127 0.2500 0.7054
O1 0.2624 0.0080 0.7766
O2 0.3107 0.7500 0.1797
O3 0.3741 0.2500 0.4642

[9]
# RbCuTc2O8 | Alexandria | PBE-GGA | relaxed
# uncorrected formation energy	-1.41	eV per atom
# E_tot	-6.866	eV/atom
# magnetic moment	0.10	μB per formula unit
data_RbCuTc2O8
_chemical_formula_sum 'Rb1 Cu1 Tc2 O8'
_symmetry_space_group_name_H-M 'P -3'
_symmetry_Int_Tables_number 147
_symmetry_space_group_name_Hall '-P 3'
_cell_length_a 5.5364
_cell_length_b 5.5364
_cell_length_c 8.0064
_cell_angle_alpha 90.00
_cell_angle_beta 90.00
_cell_angle_gamma 120.00
loop_
_atom_site_label
_atom_site_fract_x
_atom_site_fract_y
_atom_site_fract_z
Rb1 0.0000 0.0000 0.0000
Cu1 0.0000 0.0000 0.5000
Tc1 0.3333 0.6667 0.7252
O1 0.0768 0.3351 0.6555
O2 0.3333 0.6667 0.9432

[10]
# Rb2Cu2TcO6 | Alexandria | PBE-GGA | relaxed
# DOS at the Fermi energy	19.4	states/eV/cell
# uncorrected formation energy	-1.15	eV per atom
# E_tot	-5.718	eV/atom
# magnetic moment	1.09	μB per formula unit
data_Rb2Cu2TcO6
_chemical_formula_sum 'Rb6 Cu6 Tc3 O18'
_symmetry_space_group_name_H-M 'R -3 m'
_symmetry_Int_Tables_number 166
_symmetry_space_group_name_Hall '-R 3 2"'
_cell_length_a 5.8759
_cell_length_b 5.8759
_cell_length_c 17.2988
_cell_angle_alpha 90.00
_cell_angle_beta 90.00
_cell_angle_gamma 120.00
loop_
_atom_site_label
_atom_site_fract_x
_atom_site_fract_y
_atom_site_fract_z
Rb1 0.0000 0.0000 0.2145
Cu1 0.0000 0.0000 0.4008
Tc1 0.0000 0.0000 0.0000
O1 0.0296 0.5148 0.7328

[11]
# Rb2CuTeO6 | Alexandria | PBE-GGA | relaxed
# DOS at the Fermi energy	4.6	states/eV/cell
# uncorrected formation energy	-1.00	eV per atom
# E_tot	-4.890	eV/atom
# magnetic moment	1.00	μB per formula unit
data_Rb2CuTeO6
_chemical_formula_sum 'Rb2 Cu1 Te1 O6'
_symmetry_space_group_name_H-M 'P -3 m 1'
_symmetry_Int_Tables_number 164
_symmetry_space_group_name_Hall '-P 3 2"'
_cell_length_a 6.2378
_cell_length_b 6.2378
_cell_length_c 5.2378
_cell_angle_alpha 90.00
_cell_angle_beta 90.00
_cell_angle_gamma 120.00
loop_
_atom_site_label
_atom_site_fract_x
_atom_site_fract_y
_atom_site_fract_z
Rb1 0.3333 0.6667 0.1867
Cu1 0.0000 0.0000 0.0000
Te1 0.0000 0.0000 0.5000
O1 0.1375 0.2749 0.7447

[12]
# Rb2Cu2TeO6 | Alexandria | PBE-GGA | relaxed
# DOS at the Fermi energy	9.1	states/eV/cell
# uncorrected formation energy	-1.03	eV per atom
# E_tot	-4.936	eV/atom
# magnetic moment	2.05	μB per formula unit
data_Rb2Cu2TeO6
_chemical_formula_sum 'Rb6 Cu6 Te3 O18'
_symmetry_space_group_name_H-M 'R -3 m'
_symmetry_Int_Tables_number 166
_symmetry_space_group_name_Hall '-R 3 2"'
_cell_length_a 5.8852
_cell_length_b 5.8852
_cell_length_c 18.1943
_cell_angle_alpha 90.00
_cell_angle_beta 90.00
_cell_angle_gamma 120.00
loop_
_atom_site_label
_atom_site_fract_x
_atom_site_fract_y
_atom_site_fract_z
Rb1 0.0000 0.0000 0.2101
Cu1 0.0000 0.0000 0.3900
Te1 0.0000 0.0000 0.0000
O1 0.0297 0.5149 0.7336

[13]
# RbCu4Te3O12 | Alexandria | PBE-GGA | relaxed
# DOS at the Fermi energy	41.7	states/eV/cell
# uncorrected formation energy	-0.81	eV per atom
# E_tot	-5.125	eV/atom
# magnetic moment	1.17	μB per formula unit
data_RbCu4Te3O12
_chemical_formula_sum 'Rb3 Cu12 Te9 O36'
_symmetry_space_group_name_H-M 'R 3 2'
_symmetry_Int_Tables_number 155
_symmetry_space_group_name_Hall 'R 3 2"'
_cell_length_a 11.2827
_cell_length_b 11.2827
_cell_length_c 7.7638
_cell_angle_alpha 90.00
_cell_angle_beta 90.00
_cell_angle_gamma 120.00
loop_
_atom_site_label
_atom_site_fract_x
_atom_site_fract_y
_atom_site_fract_z
Rb1 0.0000 0.0000 0.0000
Cu1 0.0000 0.0000 0.5000
Cu2 0.0000 0.4279 0.5000
Te1 0.0000 0.5625 0.0000
O1 0.0000 0.6001 0.5000
O2 0.0000 0.8279 0.5000
O3 0.0671 0.2289 0.2038

[14]
# Rb2ThCuO4 | Alexandria | PBE-GGA | relaxed
# DOS at the Fermi energy	1.0	states/eV/cell
# uncorrected formation energy	-1.86	eV per atom
# E_tot	-6.022	eV/atom
# magnetic moment	0.98	μB per formula unit
data_Rb2ThCuO4
_chemical_formula_sum 'Rb4 Th2 Cu2 O8'
_symmetry_space_group_name_H-M 'I -4'
_symmetry_Int_Tables_number 82
_symmetry_space_group_name_Hall 'I -4'
_cell_length_a 6.3767
_cell_length_b 6.3767
_cell_length_c 7.6209
_cell_angle_alpha 90.00
_cell_angle_beta 90.00
_cell_angle_gamma 90.00
loop_
_atom_site_label
_atom_site_fract_x
_atom_site_fract_y
_atom_site_fract_z
Rb1 0.0000 0.0000 0.0000
Rb2 0.0000 0.5000 0.2500
Th1 0.0000 0.5000 0.7500
Cu1 0.0000 0.0000 0.5000
O1 0.1463 0.2565 0.5867

[15]
# Rb2TlCuO4 | Alexandria | PBE-GGA | relaxed
# DOS at the Fermi energy	2.4	states/eV/cell
# uncorrected formation energy	-0.85	eV per atom
# E_tot	-4.378	eV/atom
# magnetic moment	0.00	μB per formula unit
data_Rb2TlCuO4
_chemical_formula_sum 'Rb4 Tl2 Cu2 O8'
_symmetry_space_group_name_H-M 'I -4'
_symmetry_Int_Tables_number 82
_symmetry_space_group_name_Hall 'I -4'
_cell_length_a 6.2970
_cell_length_b 6.2970
_cell_length_c 7.1720
_cell_angle_alpha 90.00
_cell_angle_beta 90.00
_cell_angle_gamma 90.00
loop_
_atom_site_label
_atom_site_fract_x
_atom_site_fract_y
_atom_site_fract_z
Rb1 0.0000 0.0000 0.0000
Rb2 0.0000 0.5000 0.2500
Tl1 0.0000 0.5000 0.7500
Cu1 0.0000 0.0000 0.5000
O1 0.1437 0.7512 0.5710

[16]
# RbTmCuO2 | Alexandria | PBE-GGA | relaxed
# DOS at the Fermi energy	2.7	states/eV/cell
# uncorrected formation energy	-1.72	eV per atom
# E_tot	-5.614	eV/atom
# magnetic moment	0.00	μB per formula unit
data_RbTmCuO2
_chemical_formula_sum 'Rb2 Tm2 Cu2 O4'
_symmetry_space_group_name_H-M 'P 1 2/c 1'
_symmetry_Int_Tables_number 13
_symmetry_space_group_name_Hall '-P 2yc'
_cell_length_a 7.1908
_cell_length_b 5.6211
_cell_length_c 6.5466
_cell_angle_alpha 90.00
_cell_angle_beta 103.80
_cell_angle_gamma 90.00
loop_
_atom_site_label
_atom_site_fract_x
_atom_site_fract_y
_atom_site_fract_z
Rb1 0.0000 0.1943 0.2500
Tm1 0.5000 0.4840 0.7500
Cu1 0.5000 0.0000 0.0000
O1 0.3794 0.2955 0.4582

[17]
# RbUCu2O6 | Alexandria | PBE-GGA | relaxed
# DOS at the Fermi energy	24.1	states/eV/cell
# uncorrected formation energy	-1.60	eV per atom
# E_tot	-6.618	eV/atom
# magnetic moment	1.11	μB per formula unit
data_RbUCu2O6
_chemical_formula_sum 'Rb4 U4 Cu8 O24'
_symmetry_space_group_name_H-M 'C 1 2/c 1'
_symmetry_Int_Tables_number 15
_symmetry_space_group_name_Hall '-C 2yc'
_cell_length_a 10.8297
_cell_length_b 9.5048
_cell_length_c 6.9315
_cell_angle_alpha 90.00
_cell_angle_beta 110.39
_cell_angle_gamma 90.00
loop_
_atom_site_label
_atom_site_fract_x
_atom_site_fract_y
_atom_site_fract_z
Rb1 0.0000 0.1095 0.2500
U1 0.0000 0.3102 0.7500
Cu1 0.2049 0.4335 0.1369
O1 0.0355 0.3393 0.0476
O2 0.1268 0.1463 0.7463
O3 0.1788 0.4509 0.8455

[18]
# Rb2UCu2O6 | Alexandria | PBE-GGA | relaxed
# DOS at the Fermi energy	20.0	states/eV/cell
# uncorrected formation energy	-1.79	eV per atom
# E_tot	-6.443	eV/atom
# magnetic moment	1.13	μB per formula unit
data_Rb2UCu2O6
_chemical_formula_sum 'Rb6 U3 Cu6 O18'
_symmetry_space_group_name_H-M 'R -3 m'
_symmetry_Int_Tables_number 166
_symmetry_space_group_name_Hall '-R 3 2"'
_cell_length_a 6.0723
_cell_length_b 6.0723
_cell_length_c 17.8964
_cell_angle_alpha 90.00
_cell_angle_beta 90.00
_cell_angle_gamma 120.00
loop_
_atom_site_label
_atom_site_fract_x
_atom_site_fract_y
_atom_site_fract_z
Rb1 0.0000 0.0000 0.2152
U1 0.0000 0.0000 0.0000
Cu1 0.0000 0.0000 0.4086
O1 0.0184 0.5092 0.7380

[19]
# RbUCuO5 | Alexandria | PBE-GGA | relaxed
# uncorrected formation energy	-1.98	eV per atom
# E_tot	-7.126	eV/atom
# magnetic moment	0.00	μB per formula unit
data_RbUCuO5
_chemical_formula_sum 'Rb4 U4 Cu4 O20'
_symmetry_space_group_name_H-M 'C 1 2/c 1'
_symmetry_Int_Tables_number 15
_symmetry_space_group_name_Hall '-C 2yc'
_cell_length_a 8.5145
_cell_length_b 10.3528
_cell_length_c 6.2339
_cell_angle_alpha 90.00
_cell_angle_beta 119.01
_cell_angle_gamma 90.00
loop_
_atom_site_label
_atom_site_fract_x
_atom_site_fract_y
_atom_site_fract_z
Rb1 0.0000 0.0934 0.2500
U1 0.2500 0.2500 0.0000
Cu1 0.0000 0.4503 0.2500
O1 0.0000 0.1657 0.7500
O2 0.1474 0.3258 0.2113
O3 0.1756 0.4229 0.8103